1.
# LaInN3 | the Alexandria database | GGA-PBEsol | optimized geometry
data_LaInN3
_space_group_name_H-M_alt 'P m -3 m'
_space_group_IT_number 221
_space_group_name_Hall '-P 4 2 3'
_cell_length_a 4.148
_cell_length_b 4.148
_cell_length_c 4.148
_cell_angle_alpha 90.00
_cell_angle_beta 90.00
_cell_angle_gamma 90.00
loop_
_atom_site_label
_atom_site_type_symbol
_atom_site_fract_x
_atom_site_fract_y
_atom_site_fract_z
_atom_site_occupancy
La1 La 0.000 0.000 0.000 1
In1 In 0.500 0.500 0.500 1
N1 N 0.000 0.500 0.500 1
# formation energy from raw total energies	365	meV/atom
# crystal system	cubic



2.
# Zr3CuN | the Alexandria database | GGA-PBEsol | optimized geometry
data_Zr3CuN
_space_group_name_H-M_alt 'P m -3 m'
_space_group_IT_number 221
_space_group_name_Hall '-P 4 2 3'
_cell_length_a 4.374
_cell_length_b 4.374
_cell_length_c 4.374
_cell_angle_alpha 90.00
_cell_angle_beta 90.00
_cell_angle_gamma 90.00
loop_
_atom_site_label
_atom_site_type_symbol
_atom_site_fract_x
_atom_site_fract_y
_atom_site_fract_z
_atom_site_occupancy
Zr1 Zr 0.000 0.000 0.500 1
Cu1 Cu 0.500 0.500 0.500 1
N1 N 0.000 0.000 0.000 1
# formation energy from raw total energies	-799	meV/atom
# crystal system	cubic



3.
# KCaOs2 | the Alexandria database | GGA-PBEsol | optimized geometry
data_KCaOs2
_space_group_name_H-M_alt 'C 1 m 1'
_space_group_IT_number 8
_space_group_name_Hall 'C -2y'
_cell_length_a 7.097
_cell_length_b 4.096
_cell_length_c 8.973
_cell_angle_alpha 90.00
_cell_angle_beta 104.80
_cell_angle_gamma 90.00
loop_
_atom_site_label
_atom_site_type_symbol
_atom_site_fract_x
_atom_site_fract_y
_atom_site_fract_z
_atom_site_occupancy
K1 K 0.000 0.000 0.000 1
Ca1 Ca 0.329 0.500 0.471 1
Os1 Os 0.064 0.500 0.683 1
Os2 Os 0.244 0.000 0.723 1
# offset from the most stable computed form	0.00	kJ per mole of atoms
# crystal system	monoclinic
# ΔH_f (0 K)	0.486	eV/atom



4.
# KTlIr2 | the Alexandria database | GGA-PBEsol | optimized geometry
data_KTlIr2
_space_group_name_H-M_alt 'I m m m'
_space_group_IT_number 71
_space_group_name_Hall '-I 2 2'
_cell_length_a 2.952
_cell_length_b 5.062
_cell_length_c 10.134
_cell_angle_alpha 90.00
_cell_angle_beta 90.00
_cell_angle_gamma 90.00
loop_
_atom_site_label
_atom_site_type_symbol
_atom_site_fract_x
_atom_site_fract_y
_atom_site_fract_z
_atom_site_occupancy
K1 K 0.000 0.000 0.000 1
Tl1 Tl 0.000 0.000 0.500 1
Ir1 Ir 0.000 0.500 0.227 1
# offset from the most stable computed form	49.42	kJ per mole of atoms
# crystal system	orthorhombic
# ΔH_f (0 K)	0.920	eV/atom



| no. | Fermi-level density of states (states/eV/cell) |
| --- | --- |
| 1 | 4.11 |
| 2 | 2.87 |
| 3 | 5.16 |
| 4 | 8.98 |